# 1
# AcPmNd2Dy4

A relaxed structure of AcPmNd2Dy4 (PBE, Alexandria via LeMat-Bulk).

Cell and atoms, written as CIF:
```
data_AcPmNd2Dy4
_space_group_name_H-M_alt 'C 1 2/c 1'
_space_group_IT_number 15
_space_group_name_Hall '-C 2yc'
_cell_length_a 13.877
_cell_length_b 13.487
_cell_length_c 6.949
_cell_angle_alpha 90.00
_cell_angle_beta 120.04
_cell_angle_gamma 90.00
loop_
_atom_site_label
_atom_site_type_symbol
_atom_site_fract_x
_atom_site_fract_y
_atom_site_fract_z
_atom_site_occupancy
Ac1 Ac 0.250 0.250 0.000 1
Pm1 Pm 0.000 0.000 0.000 1
Nd1 Nd 0.000 0.500 0.000 1
Nd2 Nd 0.250 0.250 0.500 1
Dy1 Dy 0.000 0.249 0.013 1
Dy2 Dy 0.249 0.008 0.498 1
```

Energy relative to the elements ... 0.4168 eV/atom

***

# 2
# Ac2Pm5NdDy

A relaxed structure of Ac2Pm5NdDy (PBE, Alexandria via LeMat-Bulk).

Cell and atoms, written as CIF:
```
data_Ac2Pm5NdDy
_space_group_name_H-M_alt 'C m c 21'
_space_group_IT_number 36
_space_group_name_Hall 'C 2c -2'
_cell_length_a 5.859
_cell_length_b 20.584
_cell_length_c 10.984
_cell_angle_alpha 90.00
_cell_angle_beta 90.00
_cell_angle_gamma 90.00
loop_
_atom_site_label
_atom_site_type_symbol
_atom_site_fract_x
_atom_site_fract_y
_atom_site_fract_z
_atom_site_occupancy
Ac1 Ac 0.000 0.114 0.000 1
Ac2 Ac 0.000 0.117 0.588 1
Pm1 Pm 0.000 0.019 0.291 1
Pm2 Pm 0.000 0.282 0.580 1
Pm3 Pm 0.000 0.296 0.973 1
Pm4 Pm 0.000 0.388 0.289 1
Pm5 Pm 0.000 0.482 0.010 1
Nd1 Nd 0.000 0.411 0.732 1
Dy1 Dy 0.000 0.206 0.278 1
```

Energy relative to the elements ... 0.1379 eV/atom

***

# 3
# AcPm2Nd4Dy

A relaxed structure of AcPm2Nd4Dy (PBE, Alexandria via LeMat-Bulk).

Cell and atoms, written as CIF:
```
data_AcPm2Nd4Dy
_space_group_name_H-M_alt 'C 1 2/c 1'
_space_group_IT_number 15
_space_group_name_Hall '-C 2yc'
_cell_length_a 13.969
_cell_length_b 13.608
_cell_length_c 7.065
_cell_angle_alpha 90.00
_cell_angle_beta 120.11
_cell_angle_gamma 90.00
loop_
_atom_site_label
_atom_site_type_symbol
_atom_site_fract_x
_atom_site_fract_y
_atom_site_fract_z
_atom_site_occupancy
Ac1 Ac 0.250 0.250 0.000 1
Pm1 Pm 0.000 0.000 0.000 1
Pm2 Pm 0.250 0.250 0.500 1
Nd1 Nd 0.000 0.254 0.015 1
Nd2 Nd 0.247 0.492 0.466 1
Dy1 Dy 0.000 0.500 0.000 1
```

Energy relative to the elements ... 0.3791 eV/atom

***

# 4
# AcPmNdDy

A relaxed structure of AcPmNdDy (PBE, Alexandria via LeMat-Bulk).

Cell and atoms, written as CIF:
```
data_AcPmNdDy
_space_group_name_H-M_alt 'I m m 2'
_space_group_IT_number 44
_space_group_name_Hall 'I 2 -2'
_cell_length_a 5.251
_cell_length_b 5.265
_cell_length_c 10.538
_cell_angle_alpha 90.00
_cell_angle_beta 90.00
_cell_angle_gamma 90.00
loop_
_atom_site_label
_atom_site_type_symbol
_atom_site_fract_x
_atom_site_fract_y
_atom_site_fract_z
_atom_site_occupancy
Ac1 Ac 0.000 0.000 0.000 1
Pm1 Pm 0.000 0.500 0.250 1
Nd1 Nd 0.000 0.500 0.750 1
Dy1 Dy 0.000 0.000 0.500 1
```

Energy relative to the elements ... 0.0467 eV/atom

***

# 5
# AcPm6NdDy2

A relaxed structure of AcPm6NdDy2 (PBE, Alexandria via LeMat-Bulk).

Cell and atoms, written as CIF:
```
data_AcPm6NdDy2
_space_group_name_H-M_alt 'P -1'
_space_group_IT_number 2
_space_group_name_Hall '-P 1'
_cell_length_a 9.050
_cell_length_b 9.054
_cell_length_c 9.814
_cell_angle_alpha 93.14
_cell_angle_beta 93.20
_cell_angle_gamma 117.69
loop_
_atom_site_label
_atom_site_type_symbol
_atom_site_fract_x
_atom_site_fract_y
_atom_site_fract_z
_atom_site_occupancy
Ac1 Ac 0.029 0.470 0.250 1
Pm1 Pm 0.017 0.056 0.180 1
Pm2 Pm 0.119 0.250 0.555 1
Pm3 Pm 0.250 0.381 0.945 1
Pm4 Pm 0.293 0.009 0.381 1
Pm5 Pm 0.444 0.483 0.320 1
Pm6 Pm 0.491 0.208 0.119 1
Nd1 Nd 0.409 0.091 0.750 1
Dy1 Dy 0.199 0.809 0.047 1
Dy2 Dy 0.309 0.699 0.546 1
```

Energy relative to the elements ... 0.1205 eV/atom

***

# 6
# AcPmNd4Dy2

A relaxed structure of AcPmNd4Dy2 (PBE, Alexandria via LeMat-Bulk).

Cell and atoms, written as CIF:
```
data_AcPmNd4Dy2
_space_group_name_H-M_alt 'C 1 2/m 1'
_space_group_IT_number 12
_space_group_name_Hall '-C 2y'
_cell_length_a 11.639
_cell_length_b 5.205
_cell_length_c 10.452
_cell_angle_alpha 90.00
_cell_angle_beta 116.72
_cell_angle_gamma 90.00
loop_
_atom_site_label
_atom_site_type_symbol
_atom_site_fract_x
_atom_site_fract_y
_atom_site_fract_z
_atom_site_occupancy
Ac1 Ac 0.000 0.000 0.000 1
Pm1 Pm 0.000 0.000 0.500 1
Nd1 Nd 0.248 0.000 0.870 1
Nd2 Nd 0.249 0.500 0.622 1
Dy1 Dy 0.001 0.500 0.745 1
```

Energy relative to the elements ... 0.0310 eV/atom

***

# 7
# Ac2Pm2NdDy

A relaxed structure of Ac2Pm2NdDy (PBE, Alexandria via LeMat-Bulk).

Cell and atoms, written as CIF:
```
data_Ac2Pm2NdDy
_space_group_name_H-M_alt 'P m m a'
_space_group_IT_number 51
_space_group_name_Hall '-P 2a 2a'
_cell_length_a 7.358
_cell_length_b 5.936
_cell_length_c 10.239
_cell_angle_alpha 90.00
_cell_angle_beta 90.00
_cell_angle_gamma 90.00
loop_
_atom_site_label
_atom_site_type_symbol
_atom_site_fract_x
_atom_site_fract_y
_atom_site_fract_z
_atom_site_occupancy
Ac1 Ac 0.000 0.000 0.000 1
Ac2 Ac 0.250 0.500 0.174 1
Pm1 Pm 0.250 0.000 0.343 1
Pm2 Pm 0.250 0.500 0.827 1
Nd1 Nd 0.000 0.500 0.500 1
Dy1 Dy 0.250 0.000 0.664 1
```

Energy relative to the elements ... 0.0832 eV/atom

***

# 8
# Ac5PmNd2Dy

A relaxed structure of Ac5PmNd2Dy (PBE, Alexandria via LeMat-Bulk).

Cell and atoms, written as CIF:
```
data_Ac5PmNd2Dy
_space_group_name_H-M_alt 'I 4/m c m'
_space_group_IT_number 140
_space_group_name_Hall '-I 4 2c'
_cell_length_a 8.465
_cell_length_b 8.465
_cell_length_c 20.726
_cell_angle_alpha 90.00
_cell_angle_beta 90.00
_cell_angle_gamma 90.00
loop_
_atom_site_label
_atom_site_type_symbol
_atom_site_fract_x
_atom_site_fract_y
_atom_site_fract_z
_atom_site_occupancy
Ac1 Ac 0.000 0.000 0.000 1
Ac2 Ac 0.223 0.277 0.137 1
Pm1 Pm 0.000 0.000 0.250 1
Nd1 Nd 0.122 0.378 0.500 1
Dy1 Dy 0.000 0.500 0.250 1
```

Energy relative to the elements ... 0.2853 eV/atom

***

# 9
# AcPm4Nd2Dy

A relaxed structure of AcPm4Nd2Dy (PBE, Alexandria via LeMat-Bulk).

Cell and atoms, written as CIF:
```
data_AcPm4Nd2Dy
_space_group_name_H-M_alt 'C 1 2/c 1'
_space_group_IT_number 15
_space_group_name_Hall '-C 2yc'
_cell_length_a 13.947
_cell_length_b 13.585
_cell_length_c 7.044
_cell_angle_alpha 90.00
_cell_angle_beta 120.06
_cell_angle_gamma 90.00
loop_
_atom_site_label
_atom_site_type_symbol
_atom_site_fract_x
_atom_site_fract_y
_atom_site_fract_z
_atom_site_occupancy
Ac1 Ac 0.250 0.250 0.000 1
Pm1 Pm 0.000 0.245 0.014 1
Pm2 Pm 0.246 0.008 0.468 1
Nd1 Nd 0.000 0.500 0.000 1
Nd2 Nd 0.250 0.250 0.500 1
Dy1 Dy 0.000 0.000 0.000 1
```

Energy relative to the elements ... 0.3848 eV/atom

***

# 10
# AcPmNdDy2

A relaxed structure of AcPmNdDy2 (PBE, Alexandria via LeMat-Bulk).

Cell and atoms, written as CIF:
```
data_AcPmNdDy2
_space_group_name_H-M_alt 'C m c m'
_space_group_IT_number 63
_space_group_name_Hall '-C 2c 2'
_cell_length_a 6.614
_cell_length_b 17.480
_cell_length_c 6.488
_cell_angle_alpha 90.00
_cell_angle_beta 90.00
_cell_angle_gamma 90.00
loop_
_atom_site_label
_atom_site_type_symbol
_atom_site_fract_x
_atom_site_fract_y
_atom_site_fract_z
_atom_site_occupancy
Ac1 Ac 0.000 0.157 0.250 1
Pm1 Pm 0.000 0.281 0.750 1
Nd1 Nd 0.000 0.348 0.250 1
Dy1 Dy 0.243 0.500 0.000 1
```

Energy relative to the elements ... 0.3534 eV/atom

***

# 11
# AcPm5NdDy2

A relaxed structure of AcPm5NdDy2 (PBE, Alexandria via LeMat-Bulk).

Cell and atoms, written as CIF:
```
data_AcPm5NdDy2
_space_group_name_H-M_alt 'C m c 21'
_space_group_IT_number 36
_space_group_name_Hall 'C 2c -2'
_cell_length_a 5.624
_cell_length_b 24.265
_cell_length_c 9.519
_cell_angle_alpha 90.00
_cell_angle_beta 90.00
_cell_angle_gamma 90.00
loop_
_atom_site_label
_atom_site_type_symbol
_atom_site_fract_x
_atom_site_fract_y
_atom_site_fract_z
_atom_site_occupancy
Ac1 Ac 0.000 0.102 0.000 1
Pm1 Pm 0.000 0.024 0.676 1
Pm2 Pm 0.000 0.103 0.395 1
Pm3 Pm 0.000 0.189 0.700 1
Pm4 Pm 0.000 0.241 0.066 1
Pm5 Pm 0.000 0.493 0.898 1
Nd1 Nd 0.000 0.263 0.391 1
Dy1 Dy 0.000 0.329 0.753 1
Dy2 Dy 0.000 0.388 0.140 1
```

Energy relative to the elements ... 0.1437 eV/atom

***

# 12
# AcPm5Nd2Dy

A relaxed structure of AcPm5Nd2Dy (PBE, Alexandria via LeMat-Bulk).

Cell and atoms, written as CIF:
```
data_AcPm5Nd2Dy
_space_group_name_H-M_alt 'I 4/m c m'
_space_group_IT_number 140
_space_group_name_Hall '-I 4 2c'
_cell_length_a 8.994
_cell_length_b 8.994
_cell_length_c 15.895
_cell_angle_alpha 90.00
_cell_angle_beta 90.00
_cell_angle_gamma 90.00
loop_
_atom_site_label
_atom_site_type_symbol
_atom_site_fract_x
_atom_site_fract_y
_atom_site_fract_z
_atom_site_occupancy
Ac1 Ac 0.000 0.000 0.250 1
Pm1 Pm 0.000 0.000 0.000 1
Pm2 Pm 0.205 0.295 0.134 1
Nd1 Nd 0.117 0.383 0.500 1
Dy1 Dy 0.000 0.500 0.250 1
```

Energy relative to the elements ... 0.2529 eV/atom